Computed, not measured: NaZnSO4F after structural relaxation at the PBE-GGA level of DFT.

a b c (Å): 5.5208 5.5208 7.2344
angles (deg): 104.51 104.51 104.32
Fractional coordinates of all 16 atoms:
1 Na 0.1636 0.8364 0.7500
2 Na 0.8364 0.1636 0.2500
3 Zn 0.5000 0.5000 0.0000
4 Zn 0.5000 0.5000 0.5000
5 S 0.1806 0.8194 0.2500
6 S 0.8194 0.1806 0.7500
7 O 0.0853 0.2438 0.9019
8 O 0.1743 0.6171 0.3552
9 O 0.2438 0.0853 0.4019
10 O 0.3829 0.8257 0.1448
11 O 0.6171 0.1743 0.8552
12 O 0.7562 0.9147 0.5981
13 O 0.8257 0.3829 0.6448
14 O 0.9147 0.7562 0.0981
15 F 0.4143 0.5857 0.7500
16 F 0.5857 0.4143 0.2500

Calculated values
- mass density (g cm⁻³) = 3.46
- calculated total energy (eV for the cell shown) = -85.01
- spin magnetization (μB/atom) = 0.000
- raw formation energy (kJ/mol of formula units) = -1359

Computed, not measured: NaSe2O2F6 after structural relaxation at the PBE-GGA level of DFT.

a b c (Å): 6.9162 6.9162 4.2967
angles (deg): 90.00 90.00 120.00
Fractional coordinates of all 11 atoms:
1 Na 0.0000 0.0000 0.0000
2 Se 0.3333 0.6667 0.6912
3 Se 0.6667 0.3333 0.3088
4 O 0.3333 0.6667 0.3141
5 O 0.6667 0.3333 0.6859
6 F 0.1416 0.7867 0.7530
7 F 0.2133 0.3549 0.7530
8 F 0.3549 0.1416 0.2470
9 F 0.6451 0.8584 0.7530
10 F 0.7867 0.6451 0.2470
11 F 0.8584 0.2133 0.2470

Calculated values
- mass density (g cm⁻³) = 3.05
- calculated total energy (eV for the cell shown) = -45.39
- spin magnetization (μB/atom) = 0.000
- raw formation energy (kJ/mol of formula units) = -1540

Computed, not measured: NaSeO2F after structural relaxation at the PBE-GGA level of DFT.

a b c (Å): 4.1496 4.1496 3.9034
angles (deg): 90.00 90.00 90.00
Fractional coordinates of all 5 atoms:
1 Na 0.0000 0.0000 0.0000
2 Se 0.5000 0.5000 0.5000
3 O 0.0000 0.5000 0.0000
4 O 0.5000 0.0000 0.0000
5 F 0.0000 0.0000 0.5000

Calculated values
- mass density (g cm⁻³) = 3.78
- calculated total energy (eV for the cell shown) = -15.24
- spin magnetization (μB/atom) = 0.197
- raw formation energy (kJ/mol of formula units) = 131